[1]
The following is a DFT calculation (PBE-GGA) of a relaxed structure of PmSmMnIn.

Calculated values
**ΔE_f**: -0.0696 eV/atom
**Space group**: F-43m

a = 5.3210 Å, b = 5.3210 Å, c = 5.3210 Å
α = 60.00°, β = 60.00°, γ = 60.00°
Atoms (fractional coordinates):
In  0.5000  0.5000  0.5000
Mn  0.0000  0.0000  0.0000
Pm  0.2500  0.2500  0.2500
Sm  0.7500  0.7500  0.7500

***

[2]
The following is a DFT calculation (PBE-GGA) of a relaxed structure of PmTmMnIn.

Calculated values
**ΔE_f**: -0.0819 eV/atom
**Space group**: F-43m

a = 5.2314 Å, b = 5.2314 Å, c = 5.2314 Å
α = 60.00°, β = 60.00°, γ = 60.00°
Atoms (fractional coordinates):
Mn  0.0000  0.0000  0.0000
Pm  0.2500  0.2500  0.2500
In  0.5000  0.5000  0.5000
Tm  0.7500  0.7500  0.7500